First-principles (PBE) data for Ti5Al3 after structural relaxation, as listed in Alexandria via LeMat-Bulk.

Density   4032 kg/m3
Formation enthalpy at 0 K   -0.288 eV/atom
Relative energy among the computed polymorphs   18 meV/atom
Total DFT energy (no corrections)   -6.63 eV per atom

CIF file:
```
data_Ti5Al3
_symmetry_space_group_name_H-M 'F m m m'
_symmetry_Int_Tables_number 69
_symmetry_space_group_name_Hall '-F 2 2'
_cell_length_a 5.748
_cell_length_b 8.053
_cell_length_c 11.398
_cell_angle_alpha 90.00
_cell_angle_beta 90.00
_cell_angle_gamma 90.00
loop_
_atom_site_label
_atom_site_type_symbol
_atom_site_fract_x
_atom_site_fract_y
_atom_site_fract_z
_atom_site_occupancy
Ti1 Ti 0.000 0.000 0.000 1
Ti2 Ti 0.250 0.250 0.123 1
Al1 Al 0.000 0.000 0.250 1
Al2 Al 0.000 0.000 0.500 1
```